<A>
The following is a DFT calculation (PBE) of MnCoMo2H after structural relaxation.

* space group: No. 123
* magnetic moment: 0.66 μB/f.u.
* calculated density: 9.11 g/cm3

Unit cell a=3.897 b=3.897 c=3.683 alpha=90.00 beta=90.00 gamma=90.00
Each line ends with the local moment (μB).
Sites, in units of the cell vectors:
H1 0.000 0.000 0.000  0.00
Mo1 0.000 0.500 0.000  -0.19
Mo2 0.500 0.000 0.000  -0.19
Co1 0.500 0.500 0.500  -0.67
Mn1 0.000 0.000 0.500  1.68

***

<B>
The following is a DFT calculation (PBE) of MnCoMo2H after structural relaxation.

* space group: No. 123
* magnetic moment: 0.78 μB/f.u.
* calculated density: 9.14 g/cm3

Unit cell a=3.914 b=3.914 c=3.639 alpha=90.00 beta=90.00 gamma=90.00
Each line ends with the local moment (μB).
Sites, in units of the cell vectors:
Mo1 0.500 0.000 0.000  -0.23
Mo2 0.000 0.500 0.000  -0.23
Co1 0.000 0.000 0.500  -0.48
Mn1 0.500 0.500 0.500  1.68
H1 0.000 0.000 0.000  0.00

***

Stability summary - winner: <B>; margin: 0.7 kJ/mol of atoms.

***

<A>
The following is a DFT calculation (PBE) of MnNbCo2H after structural relaxation.

* space group: No. 123
* magnetic moment: 1.64 μB/f.u.
* calculated density: 8.63 g/cm3

Unit cell a=3.692 b=3.692 c=3.765 alpha=90.00 beta=90.00 gamma=90.00
Each line ends with the local moment (μB).
Sites, in units of the cell vectors:
H1 0.000 0.000 0.000  -0.01
Co1 0.000 0.500 0.000  0.15
Co2 0.500 0.000 0.000  0.15
Mn1 0.000 0.000 0.500  1.72
Nb1 0.500 0.500 0.500  -0.37

***

<B>
The following is a DFT calculation (PBE) of MnNbCo2H after structural relaxation.

* space group: No. 123
* magnetic moment: 1.43 μB/f.u.
* calculated density: 8.48 g/cm3

Unit cell a=3.646 b=3.646 c=3.929 alpha=90.00 beta=90.00 gamma=90.00
Each line ends with the local moment (μB).
Sites, in units of the cell vectors:
Co1 0.500 0.000 0.000  -0.07
Co2 0.000 0.500 0.000  -0.07
H1 0.000 0.000 0.000  0.00
Nb1 0.000 0.000 0.500  -0.37
Mn1 0.500 0.500 0.500  1.91

***

Stability summary - winner: <A>; margin: 5.9 kJ/mol of atoms.

***

<A>
The following is a DFT calculation (PBE) of MnNb2CoH after structural relaxation.

* space group: No. 123
* magnetic moment: 0.41 μB/f.u.
* calculated density: 8.32 g/cm3

Unit cell a=4.232 b=4.232 c=3.351 alpha=90.00 beta=90.00 gamma=90.00
Each line ends with the local moment (μB).
Sites, in units of the cell vectors:
Nb1 0.500 0.000 0.000  0.04
Nb2 0.000 0.500 0.000  0.04
Co1 0.000 0.000 0.500  0.36
H1 0.000 0.000 0.000  0.00
Mn1 0.500 0.500 0.500  -0.02

***

<B>
The following is a DFT calculation (PBE) of MnNb2CoH after structural relaxation.

* space group: No. 123
* magnetic moment: 0.46 μB/f.u.
* calculated density: 8.28 g/cm3

Unit cell a=4.196 b=4.196 c=3.426 alpha=90.00 beta=90.00 gamma=90.00
Each line ends with the local moment (μB).
Sites, in units of the cell vectors:
Nb1 0.500 0.000 0.000  0.07
Nb2 0.000 0.500 0.000  0.07
Mn1 0.000 0.000 0.500  -0.39
H1 0.000 0.000 0.000  0.00
Co1 0.500 0.500 0.500  0.72

***

Stability summary - winner: <A>; margin: 2.9 kJ/mol of atoms.

***

<A>
The following is a DFT calculation (PBE) of Mn2CoNiH after structural relaxation.

* space group: No. 123
* magnetic moment: 4.70 μB/f.u.
* calculated density: 8.16 g/cm3

Unit cell a=3.630 b=3.630 c=3.527 alpha=90.00 beta=90.00 gamma=90.00
Each line ends with the local moment (μB).
Sites, in units of the cell vectors:
Co1 0.000 0.000 0.500  0.64
Mn1 0.500 0.000 0.000  1.86
Mn2 0.000 0.500 0.000  1.86
Ni1 0.500 0.500 0.500  0.34
H1 0.000 0.000 0.000  -0.02

***

<B>
The following is a DFT calculation (PBE) of Mn2CoNiH after structural relaxation.

* space group: No. 123
* magnetic moment: 5.16 μB/f.u.
* calculated density: 8.10 g/cm3

Unit cell a=3.653 b=3.653 c=3.511 alpha=90.00 beta=90.00 gamma=90.00
Each line ends with the local moment (μB).
Sites, in units of the cell vectors:
Ni1 0.000 0.000 0.500  0.30
H1 0.000 0.000 0.000  -0.02
Co1 0.500 0.500 0.500  0.93
Mn1 0.500 0.000 0.000  1.97
Mn2 0.000 0.500 0.000  1.97

***

Stability summary - winner: <A>; margin: 1.5 kJ/mol of atoms.

***

<A>
The following is a DFT calculation (PBE) of MnCoHOs after structural relaxation.

* space group: No. 107
* magnetic moment: 1.42 μB/f.u.
* calculated density: 13.18 g/cm3

Unit cell a=2.625 b=2.625 c=11.159 alpha=90.00 beta=90.00 gamma=90.00
Each line ends with the local moment (μB).
Sites, in units of the cell vectors:
Os1 0.500 0.500 0.815  -0.21
Os2 0.000 0.000 0.315  -0.21
H1 0.500 0.500 0.996  -0.01
H2 0.000 0.000 0.496  -0.01
Co1 0.000 0.000 0.994  0.33
Co2 0.500 0.500 0.494  0.33
Mn1 0.500 0.500 0.161  1.29
Mn2 0.000 0.000 0.661  1.29

***

<B>
The following is a DFT calculation (PBE) of MnCoHOs after structural relaxation.

* space group: No. 160
* magnetic moment: 0.84 μB/f.u.
* calculated density: 12.85 g/cm3

Unit cell a=2.663 b=2.663 c=19.258 alpha=90.00 beta=90.00 gamma=120.00
Each line ends with the local moment (μB).
Sites, in units of the cell vectors:
Os1 0.000 0.000 0.880  -0.02
Os2 0.667 0.333 0.213  -0.02
Os3 0.333 0.667 0.546  -0.02
Mn1 0.333 0.667 0.111  -0.09
Mn2 0.000 0.000 0.444  -0.09
Mn3 0.667 0.333 0.778  -0.09
Co1 0.333 0.667 0.344  0.97
Co2 0.000 0.000 0.677  0.97
Co3 0.667 0.333 0.010  0.97
H1 0.667 0.333 0.309  -0.01
H2 0.333 0.667 0.643  -0.01
H3 0.000 0.000 0.976  -0.01

***

Stability summary - winner: <A>; margin: 2.4 kJ/mol of atoms.

***

<A>
The following is a DFT calculation (PBE) of Mn2CoHRh after structural relaxation.

* space group: No. 123
* magnetic moment: 3.11 μB/f.u.
* calculated density: 9.18 g/cm3

Unit cell a=3.679 b=3.679 c=3.646 alpha=90.00 beta=90.00 gamma=90.00
Each line ends with the local moment (μB).
Sites, in units of the cell vectors:
Co1 0.000 0.000 0.500  -0.43
Mn1 0.000 0.500 0.000  1.74
Mn2 0.500 0.000 0.000  1.74
Rh1 0.500 0.500 0.500  0.01
H1 0.000 0.000 0.000  -0.01

***

<B>
The following is a DFT calculation (PBE) of Mn2CoHRh after structural relaxation.

* space group: No. 123
* magnetic moment: 3.05 μB/f.u.
* calculated density: 9.03 g/cm3

Unit cell a=3.666 b=3.666 c=3.732 alpha=90.00 beta=90.00 gamma=90.00
Each line ends with the local moment (μB).
Sites, in units of the cell vectors:
H1 0.000 0.000 0.000  -0.02
Mn1 0.000 0.500 0.000  1.82
Mn2 0.500 0.000 0.000  1.82
Co1 0.500 0.500 0.500  -0.62
Rh1 0.000 0.000 0.500  -0.03

***

Stability summary - winner: <A>; margin: 5.0 kJ/mol of atoms.

***

<A>
The following is a DFT calculation (PBE) of Mn2CoHRu after structural relaxation.

* space group: No. 123
* magnetic moment: 1.60 μB/f.u.
* calculated density: 9.29 g/cm3

Unit cell a=3.660 b=3.660 c=3.614 alpha=90.00 beta=90.00 gamma=90.00
Each line ends with the local moment (μB).
Sites, in units of the cell vectors:
Mn1 0.500 0.000 0.000  1.21
Mn2 0.000 0.500 0.000  1.21
Co1 0.000 0.000 0.500  -0.62
Ru1 0.500 0.500 0.500  -0.24
H1 0.000 0.000 0.000  -0.01

***

<B>
The following is a DFT calculation (PBE) of Mn2CoHRu after structural relaxation.

* space group: No. 123
* magnetic moment: 0.00 μB/f.u.
* calculated density: 9.31 g/cm3

Unit cell a=3.616 b=3.616 c=3.694 alpha=90.00 beta=90.00 gamma=90.00
Sites, in units of the cell vectors:
Ru1 0.000 0.000 0.500
Mn1 0.000 0.500 0.000
Mn2 0.500 0.000 0.000
H1 0.000 0.000 0.000
Co1 0.500 0.500 0.500

***

Stability summary - winner: <A>; margin: 6.7 kJ/mol of atoms.

***

<A>
The following is a DFT calculation (PBE) of MnCoHRu2 after structural relaxation.

* space group: No. 123
* magnetic moment: 1.37 μB/f.u.
* calculated density: 9.86 g/cm3

Unit cell a=3.831 b=3.831 c=3.637 alpha=90.00 beta=90.00 gamma=90.00
Each line ends with the local moment (μB).
Sites, in units of the cell vectors:
Mn1 0.500 0.500 0.500  2.74
Ru1 0.000 0.500 0.000  -0.31
Ru2 0.500 0.000 0.000  -0.31
H1 0.000 0.000 0.000  0.01
Co1 0.000 0.000 0.500  -0.82

***

<B>
The following is a DFT calculation (PBE) of MnCoHRu2 after structural relaxation.

* space group: No. 123
* magnetic moment: 1.12 μB/f.u.
* calculated density: 9.85 g/cm3

Unit cell a=3.802 b=3.802 c=3.697 alpha=90.00 beta=90.00 gamma=90.00
Each line ends with the local moment (μB).
Sites, in units of the cell vectors:
Mn1 0.000 0.000 0.500  2.55
Co1 0.500 0.500 0.500  -1.03
Ru1 0.500 0.000 0.000  -0.23
Ru2 0.000 0.500 0.000  -0.23
H1 0.000 0.000 0.000  -0.01

***

Stability summary - winner: <A>; margin: 3.3 kJ/mol of atoms.

***

<A>
The following is a DFT calculation (PBE) of TaMn2CoH after structural relaxation.

* space group: No. 123
* magnetic moment: 3.18 μB/f.u.
* calculated density: 10.90 g/cm3

Unit cell a=3.648 b=3.648 c=4.015 alpha=90.00 beta=90.00 gamma=90.00
Each line ends with the local moment (μB).
Sites, in units of the cell vectors:
Mn1 0.500 0.000 0.000  1.68
Mn2 0.000 0.500 0.000  1.68
Ta1 0.000 0.000 0.500  -0.23
Co1 0.500 0.500 0.500  0.03
H1 0.000 0.000 0.000  -0.01

***

<B>
The following is a DFT calculation (PBE) of TaMn2CoH after structural relaxation.

* space group: No. 123
* magnetic moment: 2.69 μB/f.u.
* calculated density: 11.15 g/cm3

Unit cell a=3.759 b=3.759 c=3.697 alpha=90.00 beta=90.00 gamma=90.00
Each line ends with the local moment (μB).
Sites, in units of the cell vectors:
Ta1 0.500 0.500 0.500  -0.29
Co1 0.000 0.000 0.500  0.10
Mn1 0.500 0.000 0.000  1.44
Mn2 0.000 0.500 0.000  1.44
H1 0.000 0.000 0.000  -0.01

***

Stability summary - winner: <B>; margin: 4.5 kJ/mol of atoms.

***

<A>
The following is a DFT calculation (PBE) of TaMnCo2H after structural relaxation.

* space group: No. 123
* magnetic moment: 1.45 μB/f.u.
* calculated density: 11.35 g/cm3

Unit cell a=3.640 b=3.640 c=3.917 alpha=90.00 beta=90.00 gamma=90.00
Each line ends with the local moment (μB).
Sites, in units of the cell vectors:
H1 0.000 0.000 0.000  0.00
Ta1 0.000 0.000 0.500  -0.25
Co1 0.000 0.500 0.000  -0.02
Co2 0.500 0.000 0.000  -0.02
Mn1 0.500 0.500 0.500  1.76

***

<B>
The following is a DFT calculation (PBE) of TaMnCo2H after structural relaxation.

* space group: No. 123
* magnetic moment: 1.57 μB/f.u.
* calculated density: 11.56 g/cm3

Unit cell a=3.683 b=3.683 c=3.758 alpha=90.00 beta=90.00 gamma=90.00
Each line ends with the local moment (μB).
Sites, in units of the cell vectors:
Ta1 0.500 0.500 0.500  -0.25
Co1 0.000 0.500 0.000  0.15
Co2 0.500 0.000 0.000  0.15
H1 0.000 0.000 0.000  -0.01
Mn1 0.000 0.000 0.500  1.57

***

<C>
The following is a DFT calculation (PBE) of TaMnCo2H after structural relaxation.

* space group: No. 123
* magnetic moment: 4.25 μB/f.u.
* calculated density: 6.05 g/cm3

Unit cell a=4.476 b=4.858 c=4.476 alpha=90.00 beta=90.00 gamma=90.00
Each line ends with the local moment (μB).
Sites, in units of the cell vectors:
Co1 0.500 0.000 0.000  0.53
Co2 0.000 0.000 0.500  0.53
H1 0.500 0.500 0.500  0.10
Mn1 0.000 0.500 0.000  3.44
Ta1 0.000 0.000 0.000  -0.47

***

Stability summary - winner: <B>; margin: 7.8 kJ/mol of atoms.

***

<A>
The following is a DFT calculation (PBE) of Ta2MnCoH after structural relaxation.

* space group: No. 123
* magnetic moment: 0.24 μB/f.u.
* calculated density: 13.48 g/cm3

Unit cell a=4.211 b=4.211 c=3.312 alpha=90.00 beta=90.00 gamma=90.00
Each line ends with the local moment (μB).
Sites, in units of the cell vectors:
H1 0.000 0.000 0.000  0.00
Ta1 0.000 0.500 0.000  0.00
Ta2 0.500 0.000 0.000  0.00
Co1 0.000 0.000 0.500  0.17
Mn1 0.500 0.500 0.500  0.08

***

<B>
The following is a DFT calculation (PBE) of Ta2MnCoH after structural relaxation.

* space group: No. 123
* magnetic moment: 0.33 μB/f.u.
* calculated density: 13.26 g/cm3

Unit cell a=4.181 b=4.181 c=3.414 alpha=90.00 beta=90.00 gamma=90.00
Each line ends with the local moment (μB).
Sites, in units of the cell vectors:
Ta1 0.500 0.000 0.000  0.02
Ta2 0.000 0.500 0.000  0.02
H1 0.000 0.000 0.000  0.00
Mn1 0.000 0.000 0.500  -0.15
Co1 0.500 0.500 0.500  0.44

***

Stability summary - winner: <A>; margin: 2.5 kJ/mol of atoms.

***

<A>
The following is a DFT calculation (PBE) of Mn2CoTcH after structural relaxation.

* space group: No. 123
* magnetic moment: 1.25 μB/f.u.
* calculated density: 9.12 g/cm3

Unit cell a=3.683 b=3.683 c=3.594 alpha=90.00 beta=90.00 gamma=90.00
Each line ends with the local moment (μB).
Sites, in units of the cell vectors:
Mn1 0.500 0.000 0.000  1.17
Mn2 0.000 0.500 0.000  1.17
Co1 0.000 0.000 0.500  -0.51
H1 0.000 0.000 0.000  -0.01
Tc1 0.500 0.500 0.500  -0.59

***

<B>
The following is a DFT calculation (PBE) of Mn2CoTcH after structural relaxation.

* space group: No. 123
* magnetic moment: 1.44 μB/f.u.
* calculated density: 8.92 g/cm3

Unit cell a=3.639 b=3.639 c=3.763 alpha=90.00 beta=90.00 gamma=90.00
Each line ends with the local moment (μB).
Sites, in units of the cell vectors:
Tc1 0.000 0.000 0.500  -0.48
Mn1 0.000 0.500 0.000  1.40
Mn2 0.500 0.000 0.000  1.40
Co1 0.500 0.500 0.500  -0.93
H1 0.000 0.000 0.000  -0.01

***

Stability summary - winner: <A>; margin: 5.9 kJ/mol of atoms.

***

<A>
The following is a DFT calculation (PBE) of MnCoTc2H after structural relaxation.

* space group: No. 123
* magnetic moment: 0.00 μB/f.u.
* calculated density: 9.92 g/cm3

Unit cell a=3.820 b=3.820 c=3.566 alpha=90.00 beta=90.00 gamma=90.00
Sites, in units of the cell vectors:
Tc1 0.500 0.000 0.000
Tc2 0.000 0.500 0.000
Co1 0.000 0.000 0.500
H1 0.000 0.000 0.000
Mn1 0.500 0.500 0.500

***

<B>
The following is a DFT calculation (PBE) of MnCoTc2H after structural relaxation.

* space group: No. 123
* magnetic moment: 0.52 μB/f.u.
* calculated density: 9.56 g/cm3

Unit cell a=3.827 b=3.827 c=3.688 alpha=90.00 beta=90.00 gamma=90.00
Each line ends with the local moment (μB).
Sites, in units of the cell vectors:
H1 0.000 0.000 0.000  -0.01
Tc1 0.000 0.500 0.000  -0.32
Tc2 0.500 0.000 0.000  -0.32
Mn1 0.000 0.000 0.500  2.15
Co1 0.500 0.500 0.500  -1.02

***

Stability summary - winner: <B>; margin: 2.3 kJ/mol of atoms.